Below is BaMn2Sb after structural relaxation, with properties calculated at the GGA-PBEsol level.

**E_tot**: -6.361 eV per atom
**Fermi-level density of states**: 1.1596 states/eV per atom
**Crystal system**: trigonal
**M_tot**: 1.422 μB per atom

a b c (Å): 4.4891 4.4891 16.7098
angles (deg): 90.00 90.00 120.00
Space group R-3m (No. 166, hexagonal axes)
Symmetry-distinct sites (fractional):
Ba (0.0000, 0.0000, 0.0000) [3 per cell]
Mn (0.0000, 0.0000, 0.1896) [6 per cell]
Sb (0.0000, 0.0000, 0.5000) [3 per cell]